The following is a DFT calculation (GGA-PBE) of Sc2Zn2Ni15 after structural relaxation.

a b c (Å): 8.1997 8.1997 12.1413
angles (deg): 90.00 90.00 120.00
Space group R-3m (No. 166, hexagonal axes)
Symmetry-distinct sites (fractional):
Sc (0.0000, 0.0000, 0.1513) [6 per cell]
Zn (0.0000, 0.0000, 0.3989) [6 per cell]
Ni (0.0000, 0.3067, 0.5000) [18 per cell]
Ni (0.0000, 0.5000, 0.0000) [9 per cell]
Ni (0.0039, 0.5019, 0.6551) [18 per cell]

Computed properties:
* calculated volume: 12.40 Å³/atom
* theoretical density: 7.759 g/cm³
* ΔE_f: -0.206 eV/atom
* total energy: -105.838 eV/f.u.
* total moment: 11.68 Bohr magnetons per cell

The following is a DFT calculation (GGA-PBE) of Sc2SnO after structural relaxation.

a b c (Å): 9.8551 3.4324 9.3242
angles (deg): 90.00 90.00 90.00
Space group Pnma (No. 62)
Symmetry-distinct sites (fractional):
Sc (0.0741, 0.2500, 0.1941) [4 per cell]
Sc (0.1231, 0.2500, 0.5659) [4 per cell]
Sn (0.1883, 0.2500, 0.8814) [4 per cell]
O (0.0099, 0.7500, 0.6099) [4 per cell]

Computed properties:
* calculated volume: 19.71 Å³/atom
* theoretical density: 4.730 g/cm³
* total energy: -28.772 eV/f.u.
* total moment: 0.00 Bohr magnetons per cell